Record 1
! PBE Na3NdTh3Te8, optimized geometry; values from VASP
! **Energy relative to the elements, uncorrected**: -1171 meV/atom
! **DFT total energy**: -4.912 eV/atom
! **SG**: R-3m, No. 166
&SYSTEM
  ibrav = 0, nat = 15, ntyp = 4
/
ATOMIC_SPECIES
Te 127.60 Te.upf
Nd 144.24 Nd.upf
Th 232.04 Th.upf
Na 22.99 Na.upf
ATOMIC_POSITIONS angstrom
Te 0.0000 0.0669 5.7277
Te -2.1839 3.8469 5.7127
Te 2.2592 -1.2539 1.9967
Te 4.4432 2.5262 1.9817
Te 2.1839 3.8469 5.7127
Te 0.0000 2.5705 1.9558
Te 6.6271 -1.2539 1.9967
Te 4.4432 0.0226 5.7536
Nd 0.0000 -2.5501 3.8700
Th 2.2216 1.2965 3.8547
Th 4.4432 -2.5501 3.8700
Th -2.2216 1.2965 3.8547
Na 0.0000 0.0000 0.0000
Na 2.2216 3.8466 -0.0153
Na -2.2216 3.8466 -0.0153
CELL_PARAMETERS angstrom
8.8864 0.0000 0.0000
-4.4432 7.6933 -0.0305
0.0000 -5.1002 7.7399


Record 2
! PBE Na4NdTh3Te8, optimized geometry; values from VASP
! **Energy relative to the elements, uncorrected**: -1154 meV/atom
! **DFT total energy**: -4.744 eV/atom
! **SG**: R-3m, No. 166
&SYSTEM
  ibrav = 0, nat = 16, ntyp = 4
/
ATOMIC_SPECIES
Te 127.60 Te.upf
Na 22.99 Na.upf
Th 232.04 Th.upf
Nd 144.24 Nd.upf
ATOMIC_POSITIONS angstrom
Te 0.0000 4.7312 3.3590
Te 2.1973 2.5360 6.4674
Te 4.4225 4.7485 3.3514
Te 6.6198 2.3639 0.1151
Te 4.4225 0.1687 3.2236
Te -2.1973 2.5360 6.4674
Te 0.0000 0.1514 3.2311
Te 2.2252 2.3639 0.1151
Na 4.4225 0.0000 0.0000
Na -2.2113 -2.2091 3.1282
Na 2.2113 -2.2091 3.1282
Na 0.0000 0.0000 0.0000
Th 2.2113 2.4500 3.2913
Th 4.4225 4.6591 0.1630
Th -2.2113 2.4500 3.2913
Nd 0.0000 4.6591 0.1630
CELL_PARAMETERS angstrom
8.8450 0.0000 0.0000
0.0000 9.3181 0.3260
-4.4225 -4.4182 6.2565


Record 3
! PBE Na4NdTm3Te8, optimized geometry; values from VASP
! **Energy relative to the elements, uncorrected**: -1299 meV/atom
! **DFT total energy**: -4.336 eV/atom
! **SG**: R-3m, No. 166
&SYSTEM
  ibrav = 0, nat = 16, ntyp = 4
/
ATOMIC_SPECIES
Te 127.60 Te.upf
Na 22.99 Na.upf
Tm 168.93 Tm.upf
Nd 144.24 Nd.upf
ATOMIC_POSITIONS angstrom
Te -3.0540 0.6378 -6.2627
Te -2.2775 -2.2474 0.7243
Te -0.6522 -5.1371 -1.9824
Te -3.1750 -3.5180 -5.2420
Te -4.8004 -0.6284 -2.5353
Te -4.9108 -4.8707 -1.3996
Te -2.3986 -6.4032 1.7450
Te -0.5417 -0.8947 -3.1181
Na -1.7952 -1.3014 3.8321
Na 0.0000 0.0000 0.0000
Na -4.3780 0.2741 0.5991
Na -2.5828 1.5755 -3.2329
Tm -0.9311 -1.5814 -6.0909
Tm -0.1435 -4.4582 0.9741
Tm -2.7263 -2.8827 -2.2588
Nd 1.6517 -3.1569 -2.8580
CELL_PARAMETERS angstrom
-5.1656 3.1510 -6.4658
3.3034 -6.3137 -5.7160
-3.5903 -2.6027 7.6641


Record 4
! PBE Na3NdTm2Te6, optimized geometry; values from VASP
! **Energy relative to the elements, uncorrected**: -1303 meV/atom
! **DFT total energy**: -4.346 eV/atom
! **SG**: C2/m, No. 12
&SYSTEM
  ibrav = 0, nat = 12, ntyp = 4
/
ATOMIC_SPECIES
Te 127.60 Te.upf
Na 22.99 Na.upf
Nd 144.24 Nd.upf
Tm 168.93 Tm.upf
ATOMIC_POSITIONS angstrom
Te 3.8831 2.1464 5.8074
Te 2.5232 4.3690 1.7542
Te -0.0815 4.4361 5.8074
Te 0.0392 0.0679 5.8118
Te 2.6440 0.0007 1.7586
Te -1.3207 2.2905 1.7586
Na -2.6039 4.4622 3.7830
Na 1.2812 2.2184 3.7830
Na 5.1664 -0.0254 3.7830
Nd 0.0000 0.0000 0.0000
Tm 3.8526 2.2157 -0.0012
Tm -0.0062 4.4443 -0.0012
CELL_PARAMETERS angstrom
7.6919 -0.0017 -0.0012
-3.8456 6.6617 -0.0012
-1.2840 -2.2232 7.5684


Record 5
! PBE Na2NdUTe4, optimized geometry; values from VASP
! **Energy relative to the elements, uncorrected**: -1039 meV/atom
! **DFT total energy**: -4.947 eV/atom
! **SG**: P2/m, No. 10
&SYSTEM
  ibrav = 0, nat = 8, ntyp = 4
/
ATOMIC_SPECIES
Te 127.60 Te.upf
Na 22.99 Na.upf
Nd 144.24 Nd.upf
U 238.03 U.upf
ATOMIC_POSITIONS angstrom
Te -3.8345 2.6123 5.6194
Te -2.4519 -0.0553 2.0287
Te -2.9312 4.6584 1.7910
Te 0.3574 0.3994 5.4288
Na -1.2869 2.5289 3.6099
Na -4.1019 2.0702 0.1378
Nd 0.0000 0.0000 0.0000
U -0.8977 -2.0421 3.9005
CELL_PARAMETERS angstrom
-3.7126 -2.5008 0.4284
1.9173 -1.5833 7.3726
-4.4911 6.6411 -0.1528


Record 6
! PBE Na2Nd3YTe6, optimized geometry; values from VASP
! **Energy relative to the elements, uncorrected**: -1354 meV/atom
! **DFT total energy**: -4.876 eV/atom
! **SG**: C2/m, No. 12
&SYSTEM
  ibrav = 0, nat = 12, ntyp = 4
/
ATOMIC_SPECIES
Y 88.91 Y.upf
Te 127.60 Te.upf
Na 22.99 Na.upf
Nd 144.24 Nd.upf
ATOMIC_POSITIONS angstrom
Y 0.0000 0.0000 0.0000
Te 2.6121 4.5229 1.8344
Te -1.2728 2.2063 1.7929
Te -0.0223 -0.0386 5.5389
Te 0.0428 4.4841 5.5804
Te 3.8626 2.2780 5.5804
Te 2.5471 0.0002 1.7929
Na 0.0168 4.4715 0.0034
Na 3.8647 2.2493 0.0034
Nd 5.1335 0.0252 3.6867
Nd 1.2949 2.2421 3.6867
Nd -2.5437 4.4591 3.6867
CELL_PARAMETERS angstrom
7.7568 0.0014 0.0034
-3.8753 6.7194 0.0034
-1.2917 -2.2365 7.3665